No. 1
A crystal of TlRe3Ru relaxed with PBEsol. Source: the Alexandria database, functional meta-GGA SCAN.

Results
formation enthalpy at 0 K	3821	meV/atom
density of states at the Fermi level	3.55	states/eV/f.u.
total magnetic moment	0.3064	μB/atom

Unit cell a=4.7624 b=4.7624 c=4.7624 alpha=90.00 beta=90.00 gamma=90.00
Each line ends with the local moment (μB).
Atoms (fractional coordinates):
Tl  0.0000  0.0000  0.0000  0.01
Re  0.0000  0.0000  0.5000  -0.28
Re  0.5000  0.0000  0.0000  -0.28
Ru  0.5000  0.5000  0.5000  2.59
Re  0.0000  0.5000  0.0000  -0.28

No. 2
A crystal of BaCaRu2 relaxed with PBEsol. Source: the Alexandria database, functional meta-GGA SCAN.

Results
formation enthalpy at 0 K	958	meV/atom
density of states at the Fermi level	4.31	states/eV/f.u.
energy above the most stable polymorph in this dataset	552.0	meV per atom
total magnetic moment	0.0007	μB/atom

Unit cell a=3.1125 b=5.5417 c=5.5417 alpha=112.46 beta=103.10 gamma=103.10
Atoms (fractional coordinates):
Ru  0.0000  0.5000  0.0000
Ba  0.5000  0.5000  0.5000
Ru  0.0000  0.0000  0.5000
Ca  0.5000  0.0000  0.0000

No. 3
A crystal of ZrAsAu relaxed with PBEsol. Source: the Alexandria database, functional meta-GGA SCAN.

Results
formation enthalpy at 0 K	-337	meV/atom
density of states at the Fermi level	2.64	states/eV/f.u.
total magnetic moment	0.0000	μB/atom

Unit cell a=4.4880 b=4.4880 c=4.4880 alpha=60.00 beta=60.00 gamma=60.00
Atoms (fractional coordinates):
As  0.5000  0.5000  0.5000
Zr  0.0000  0.0000  0.0000
Au  0.7500  0.7500  0.7500